Density functional theory data (PBE-GGA) for a geometry-optimized TlSi3Hg structure.

abc: 5.1389 5.1389 5.1389
angles: 90.00 90.00 90.00
Atoms (fractional coordinates):
1 Tl 0.0000 0.0000 0.0000
2 Si 0.0000 0.5000 0.5000
3 Si 0.5000 0.0000 0.5000
4 Si 0.5000 0.5000 0.0000
5 Hg 0.5000 0.5000 0.5000

Space group: Pm-3m
DOS at the Fermi energy in states/eV per atom: 0.89
Total magnetization in μB per cell: 0.0
Distance to the lowest polymorph of the same formula in eV per atom: 0.000
Raw total energy in eV/atom: -2.6326
Formation energy (no corrections) in eV/f.u.: 5.8